[1]
The following is a GGA-PBE calculation of a geometry-optimized HfMgTeI2 structure, from Alexandria via LeMat-Bulk.

Results
Uncorrected formation energy (kcal/mol of atoms): -5.14
Excess energy over the best structure of this formula in the dataset (meV/atom): 0

CIF file:
```
data_HfMgTeI2
_chemical_formula_sum 'Hf1 Mg1 Te1 I2'
_symmetry_space_group_name_H-M 'P 4/m m m'
_symmetry_Int_Tables_number 123
_symmetry_space_group_name_Hall '-P 4 2'
_cell_length_a 5.7361
_cell_length_b 5.7361
_cell_length_c 5.5776
_cell_angle_alpha 90.00
_cell_angle_beta 90.00
_cell_angle_gamma 90.00
loop_
_atom_site_label
_atom_site_fract_x
_atom_site_fract_y
_atom_site_fract_z
Hf1 0.0000 0.0000 0.0000
Mg1 0.5000 0.5000 0.5000
Te1 0.0000 0.0000 0.5000
I1 0.0000 0.5000 0.0000
```

[2]
The following is a GGA-PBE calculation of a geometry-optimized HfMgTlI2 structure, from Alexandria via LeMat-Bulk.

Results
Uncorrected formation energy (kcal/mol of atoms): 2.42

CIF file:
```
data_HfMgTlI2
_chemical_formula_sum 'Hf1 Mg1 Tl1 I2'
_symmetry_space_group_name_H-M 'P 4/m m m'
_symmetry_Int_Tables_number 123
_symmetry_space_group_name_Hall '-P 4 2'
_cell_length_a 5.6363
_cell_length_b 5.6363
_cell_length_c 5.9396
_cell_angle_alpha 90.00
_cell_angle_beta 90.00
_cell_angle_gamma 90.00
loop_
_atom_site_label
_atom_site_fract_x
_atom_site_fract_y
_atom_site_fract_z
Hf1 0.0000 0.0000 0.0000
Mg1 0.5000 0.5000 0.5000
Tl1 0.0000 0.0000 0.5000
I1 0.0000 0.5000 0.0000
```

[3]
The following is a GGA-PBE calculation of a geometry-optimized HfMgV2I structure, from Alexandria via LeMat-Bulk.

Results
Uncorrected formation energy (kcal/mol of atoms): 30.87

CIF file:
```
data_HfMgV2I
_chemical_formula_sum 'Hf1 Mg1 V2 I1'
_symmetry_space_group_name_H-M 'P 4/m m m'
_symmetry_Int_Tables_number 123
_symmetry_space_group_name_Hall '-P 4 2'
_cell_length_a 4.9628
_cell_length_b 4.9628
_cell_length_c 5.5377
_cell_angle_alpha 90.00
_cell_angle_beta 90.00
_cell_angle_gamma 90.00
loop_
_atom_site_label
_atom_site_fract_x
_atom_site_fract_y
_atom_site_fract_z
Hf1 0.0000 0.0000 0.0000
Mg1 0.5000 0.5000 0.5000
V1 0.0000 0.5000 0.0000
I1 0.0000 0.0000 0.5000
```

[4]
The following is a GGA-PBE calculation of a geometry-optimized HfMgWI2 structure, from Alexandria via LeMat-Bulk.

Results
Uncorrected formation energy (kcal/mol of atoms): 38.40

CIF file:
```
data_HfMgWI2
_chemical_formula_sum 'Hf1 Mg1 W1 I2'
_symmetry_space_group_name_H-M 'P 4/m m m'
_symmetry_Int_Tables_number 123
_symmetry_space_group_name_Hall '-P 4 2'
_cell_length_a 5.2466
_cell_length_b 5.2466
_cell_length_c 5.4681
_cell_angle_alpha 90.00
_cell_angle_beta 90.00
_cell_angle_gamma 90.00
loop_
_atom_site_label
_atom_site_fract_x
_atom_site_fract_y
_atom_site_fract_z
Hf1 0.0000 0.0000 0.0000
Mg1 0.5000 0.5000 0.5000
W1 0.5000 0.5000 0.0000
I1 0.0000 0.5000 0.5000
```

[5]
The following is a GGA-PBE calculation of a geometry-optimized Hf2MgZrI structure, from Alexandria via LeMat-Bulk.

Results
Uncorrected formation energy (kcal/mol of atoms): 25.13

CIF file:
```
data_Hf2MgZrI
_chemical_formula_sum 'Hf2 Mg1 Zr1 I1'
_symmetry_space_group_name_H-M 'P 4/m m m'
_symmetry_Int_Tables_number 123
_symmetry_space_group_name_Hall '-P 4 2'
_cell_length_a 5.1979
_cell_length_b 5.1979
_cell_length_c 5.1319
_cell_angle_alpha 90.00
_cell_angle_beta 90.00
_cell_angle_gamma 90.00
loop_
_atom_site_label
_atom_site_fract_x
_atom_site_fract_y
_atom_site_fract_z
Hf1 0.0000 0.5000 0.0000
Mg1 0.0000 0.0000 0.5000
Zr1 0.5000 0.5000 0.5000
I1 0.0000 0.0000 0.0000
```

[6]
The following is a GGA-PBE calculation of a geometry-optimized HfMnI3 structure, from Alexandria via LeMat-Bulk.

Results
Uncorrected formation energy (kcal/mol of atoms): 5.99
Excess energy over the best structure of this formula in the dataset (meV/atom): 0

CIF file:
```
data_HfMnI3
_chemical_formula_sum 'Hf1 Mn1 I3'
_symmetry_space_group_name_H-M 'P m -3 m'
_symmetry_Int_Tables_number 221
_symmetry_space_group_name_Hall '-P 4 2 3'
_cell_length_a 5.6955
_cell_length_b 5.6955
_cell_length_c 5.6955
_cell_angle_alpha 90.00
_cell_angle_beta 90.00
_cell_angle_gamma 90.00
loop_
_atom_site_label
_atom_site_fract_x
_atom_site_fract_y
_atom_site_fract_z
Hf1 0.0000 0.0000 0.0000
Mn1 0.5000 0.5000 0.5000
I1 0.0000 0.0000 0.5000
```

[7]
The following is a GGA-PBE calculation of a geometry-optimized HfMnI2 structure, from Alexandria via LeMat-Bulk.

Results
Uncorrected formation energy (kcal/mol of atoms): 16.04
Excess energy over the best structure of this formula in the dataset (meV/atom): 288

CIF file:
```
data_HfMnI2
_chemical_formula_sum 'Hf4 Mn4 I8'
_symmetry_space_group_name_H-M 'I -4 2 d'
_symmetry_Int_Tables_number 122
_symmetry_space_group_name_Hall 'I -4 2bw'
_cell_length_a 6.7132
_cell_length_b 6.7132
_cell_length_c 11.0177
_cell_angle_alpha 90.00
_cell_angle_beta 90.00
_cell_angle_gamma 90.00
loop_
_atom_site_label
_atom_site_fract_x
_atom_site_fract_y
_atom_site_fract_z
Hf1 0.0000 0.0000 0.0000
Mn1 0.0000 0.0000 0.5000
I1 0.2225 0.2500 0.6250
```

[8]
The following is a GGA-PBE calculation of a geometry-optimized HfMnI2 structure, from Alexandria via LeMat-Bulk.

Results
Uncorrected formation energy (kcal/mol of atoms): 9.40
Excess energy over the best structure of this formula in the dataset (meV/atom): 0

CIF file:
```
data_HfMnI2
_chemical_formula_sum 'Hf4 Mn4 I8'
_symmetry_space_group_name_H-M 'F m -3 m'
_symmetry_Int_Tables_number 225
_symmetry_space_group_name_Hall '-F 4 2 3'
_cell_length_a 7.1323
_cell_length_b 7.1323
_cell_length_c 7.1323
_cell_angle_alpha 90.00
_cell_angle_beta 90.00
_cell_angle_gamma 90.00
loop_
_atom_site_label
_atom_site_fract_x
_atom_site_fract_y
_atom_site_fract_z
Hf1 0.0000 0.0000 0.0000
Mn1 0.0000 0.0000 0.5000
I1 0.2500 0.2500 0.2500
```